(1)
! BeCdGePt (GGA-PBE, optimized geometry); values from VASP
! - Symmetry: F-43m, No. 216
! - Energy: -14.484 eV per formula unit
! - Offset from the most stable computed form: 0.077 eV per atom
&SYSTEM
  ibrav = 0, nat = 4, ntyp = 4
/
ATOMIC_SPECIES
Cd 112.41 Cd.upf
Be 9.01 Be.upf
Pt 195.08 Pt.upf
Ge 72.64 Ge.upf
CELL_PARAMETERS angstrom
0.000 3.201 3.201
3.201 0.000 3.201
3.201 3.201 0.000
ATOMIC_POSITIONS crystal
Cd 0.250 0.250 0.250
Be 0.750 0.750 0.750
Pt 0.500 0.500 0.500
Ge 0.000 0.000 0.000

***

(2)
! Co2Cu6Cl (GGA-PBE, optimized geometry); values from VASP
! - Symmetry: P4/mmm, No. 123
! - Energy: -29.715 eV per formula unit
&SYSTEM
  ibrav = 0, nat = 9, ntyp = 3
/
ATOMIC_SPECIES
Cu 63.55 Cu.upf
Cl 35.45 Cl.upf
Co 58.93 Co.upf
CELL_PARAMETERS angstrom
4.122 0.000 0.000
0.000 4.124 0.000
0.000 0.000 9.958
ATOMIC_POSITIONS crystal
Cu 0.000 0.500 0.841
Cu 0.500 0.000 0.840
Cu 0.000 0.500 0.159
Cu 0.500 0.500 0.500
Cu 0.500 0.500 0.000
Cu 0.500 0.000 0.160
Cl 0.000 0.000 0.000
Co 0.500 0.500 0.274
Co 0.500 0.500 0.726

***

(3)
! NdH8C6O10 (GGA-PBE, optimized geometry); values from VASP
! - Symmetry: P-1, No. 2
! - Energy: -162.660 eV per formula unit
&SYSTEM
  ibrav = 0, nat = 50, ntyp = 4
/
ATOMIC_SPECIES
H 1.01 H.upf
C 12.01 C.upf
O 16.00 O.upf
Nd 144.24 Nd.upf
CELL_PARAMETERS angstrom
8.113 0.000 0.000
-2.949 7.859 0.000
-3.805 -2.357 7.711
ATOMIC_POSITIONS crystal
H 0.360 0.888 0.056
H 0.367 0.578 0.966
H 0.841 0.282 0.099
H 0.793 0.690 0.385
H 0.640 0.112 0.944
H 0.414 0.367 0.797
H 0.207 0.310 0.615
H 0.899 0.207 0.919
H 0.769 0.552 0.978
H 0.231 0.448 0.022
H 0.956 0.333 0.803
H 0.586 0.633 0.203
H 0.633 0.422 0.034
H 0.101 0.793 0.081
H 0.044 0.667 0.197
H 0.159 0.718 0.901
C 0.530 0.323 0.350
C 0.544 0.000 0.460
C 0.470 0.677 0.650
C 0.872 0.557 0.624
C 0.358 0.217 0.182
C 0.456 0.000 0.540
C 0.128 0.443 0.376
C 0.668 0.002 0.384
C 0.316 0.579 0.517
C 0.684 0.421 0.483
C 0.642 0.783 0.818
C 0.332 0.998 0.616
O 0.391 0.221 0.055
O 0.786 0.155 0.031
O 0.024 0.479 0.244
O 0.262 0.311 0.738
O 0.081 0.289 0.399
O 0.152 0.974 0.515
O 0.609 0.779 0.945
O 0.214 0.845 0.969
O 0.012 0.755 0.136
O 0.738 0.689 0.262
O 0.656 0.432 0.934
O 0.976 0.521 0.756
O 0.848 0.026 0.485
O 0.344 0.568 0.066
O 0.919 0.711 0.601
O 0.400 0.020 0.777
O 0.988 0.245 0.864
O 0.600 0.980 0.223
O 0.187 0.130 0.170
O 0.813 0.870 0.830
Nd 0.088 0.025 0.777
Nd 0.912 0.975 0.223

***

(4)
! LuFe2Au (GGA-PBE, optimized geometry); values from VASP
! - Symmetry: F-43m, No. 216
! - Energy: -24.516 eV per formula unit
! - Formation energy: -0.03 eV/atom
&SYSTEM
  ibrav = 0, nat = 4, ntyp = 3
/
ATOMIC_SPECIES
Fe 55.84 Fe.upf
Lu 174.97 Lu.upf
Au 196.97 Au.upf
CELL_PARAMETERS angstrom
0.000 3.218 3.218
3.218 0.000 3.218
3.218 3.218 0.000
ATOMIC_POSITIONS crystal
Fe 0.000 0.000 0.000
Fe 0.250 0.250 0.250
Lu 0.500 0.500 0.500
Au 0.750 0.750 0.750

***

(5)
! CsKBiAu (GGA-PBE, optimized geometry); values from VASP
! - Symmetry: Amm2, No. 38
! - Energy: -10.973 eV per formula unit
! - Offset from the most stable computed form: 0.000 eV per atom
&SYSTEM
  ibrav = 0, nat = 8, ntyp = 4
/
ATOMIC_SPECIES
Cs 132.91 Cs.upf
K 39.10 K.upf
Au 196.97 Au.upf
Bi 208.98 Bi.upf
CELL_PARAMETERS angstrom
-3.968 -4.243 4.346
2.490 -5.680 -3.273
4.160 1.641 5.401
ATOMIC_POSITIONS crystal
Cs 0.500 0.152 0.490
Cs 0.500 0.490 0.152
K 0.000 0.852 0.518
K 0.000 0.518 0.852
Au 0.757 0.994 0.994
Au 0.243 0.994 0.994
Bi 0.000 0.262 0.262
Bi 0.500 0.738 0.738

***

(6)
! Sc4Ta2As3C3 (GGA-PBE, optimized geometry); values from VASP
! - Symmetry: C2/c, No. 15
! - Energy: -100.308 eV per formula unit
&SYSTEM
  ibrav = 0, nat = 24, ntyp = 4
/
ATOMIC_SPECIES
As 74.92 As.upf
C 12.01 C.upf
Ta 180.95 Ta.upf
Sc 44.96 Sc.upf
CELL_PARAMETERS angstrom
-2.888 -2.063 4.618
-2.176 -0.777 -5.346
8.664 -9.677 1.007
ATOMIC_POSITIONS crystal
As 0.901 0.651 0.750
As 0.266 0.335 0.751
As 0.584 0.015 0.749
As 0.099 0.349 0.250
As 0.416 0.985 0.251
As 0.734 0.665 0.249
C 0.189 0.844 0.500
C 0.344 0.189 0.000
C 0.656 0.811 0.000
C 0.500 0.500 0.500
C 0.811 0.156 0.500
C 0.000 0.500 0.000
Ta 0.357 0.559 0.088
Ta 0.529 0.231 0.588
Ta 0.471 0.769 0.412
Ta 0.643 0.441 0.912
Sc 0.040 0.906 0.101
Sc 0.806 0.439 0.399
Sc 0.125 0.099 0.399
Sc 0.875 0.901 0.601
Sc 0.699 0.226 0.101
Sc 0.960 0.094 0.899
Sc 0.301 0.774 0.899
Sc 0.194 0.561 0.601